First-principles (meta-GGA SCAN) data for a PBEsol-optimized structure of CdGeWCl2, as listed in Alexandria.

a = 4.739 Å, b = 4.739 Å, c = 6.078 Å
α = 90.00°, β = 90.00°, γ = 90.00°
Sites, in units of the cell vectors:
Cd (0.000, 0.000, 0.000)
Ge (0.500, 0.500, 0.500)
W (0.000, 0.000, 0.500)
Cl (0.000, 0.500, 0.000)
Cl (0.500, 0.000, 0.000)

Properties
- calculated total energy (eV/cell) = -129.2
- SG = No. 123


First-principles (meta-GGA SCAN) data for a PBEsol-optimized structure of AlPF3, as listed in Alexandria.

a = 4.230 Å, b = 4.230 Å, c = 4.230 Å
α = 90.00°, β = 90.00°, γ = 90.00°
Sites, in units of the cell vectors:
Al (0.000, 0.000, 0.000)
P (0.500, 0.500, 0.500)
F (0.000, 0.500, 0.500)
F (0.500, 0.000, 0.500)
F (0.500, 0.500, 0.000)

Properties
- calculated total energy (eV/cell) = -33.1
- SG = No. 221


First-principles (meta-GGA SCAN) data for a PBEsol-optimized structure of ReTcTe, as listed in Alexandria.

a = 4.289 Å, b = 4.289 Å, c = 4.289 Å
α = 60.00°, β = 60.00°, γ = 60.00°
Sites, in units of the cell vectors:
Re (0.000, 0.000, 0.000)
Tc (0.250, 0.250, 0.250)
Te (0.500, 0.500, 0.500)

Properties
- calculated total energy (eV/cell) = -142.0
- SG = No. 216


- The lowest calculated total energy belongs to which entry?
  ReTcTe